# 1
DFT (PBE) results for an optimized crystal structure of KNa17Tl11.

```
data_KNa17Tl11
_chemical_formula_sum 'K2 Na34 Tl22'
_cell_length_a 12.0808
_cell_length_b 17.0832
_cell_length_c 10.3981
_cell_angle_alpha 90.00
_cell_angle_beta 123.44
_cell_angle_gamma 90.00
_space_group_name_H-M_alt 'C 1 m 1'
_space_group_IT_number 8
_space_group_name_Hall 'C -2y'
loop_
_atom_site_label
_atom_site_fract_x
_atom_site_fract_y
_atom_site_fract_z
K1 0.0000 0.0000 0.0000
Na1 0.0048 0.5000 0.9040
Na2 0.0851 0.2925 0.5207
Na3 0.2404 0.0000 0.9045
Na4 0.2548 0.1464 0.2174
Na5 0.2820 0.2053 0.8986
Na6 0.2823 0.5000 0.5386
Na7 0.3068 0.5000 0.2257
Na8 0.3528 0.1438 0.6199
Na9 0.4443 0.3291 0.7683
Na10 0.4638 0.3227 0.2139
Na11 0.4753 0.0000 0.4773
Tl1 0.0060 0.4050 0.2074
Tl2 0.0659 0.0973 0.5767
Tl3 0.1117 0.3103 0.0168
Tl4 0.1629 0.0000 0.3949
Tl5 0.1979 0.4049 0.8187
Tl6 0.2820 0.3089 0.3884
```

## Properties
- VASP energy: -1.793 eV per atom
- ΔE_f: -0.08 eV per atom
- Total magnetization: 0.00 μB per cell
- Calculated density: 5.0 g cm⁻³
- Fermi-level density of states: 27.121 states/eV per cell
- V: 895 Å³/f.u.



# 2
DFT (PBE) results for an optimized crystal structure of CeDyPu2Bi4.

```
data_CeDyPu2Bi4
_chemical_formula_sum 'Ce1 Dy1 Pu2 Bi4'
_cell_length_a 7.8522
_cell_length_b 4.5459
_cell_length_c 7.8617
_cell_angle_alpha 90.00
_cell_angle_beta 109.50
_cell_angle_gamma 90.00
_space_group_name_H-M_alt 'P 1 2/m 1'
_space_group_IT_number 10
_space_group_name_Hall '-P 2y'
loop_
_atom_site_label
_atom_site_fract_x
_atom_site_fract_y
_atom_site_fract_z
Ce1 0.0000 0.0000 0.0000
Dy1 0.5000 0.5000 0.0000
Pu1 0.0000 0.5000 0.5000
Pu2 0.5000 0.0000 0.5000
Bi1 0.2523 0.5000 0.2497
Bi2 0.2526 0.0000 0.7514
```

## Properties
- VASP energy: -7.420 eV per atom
- ΔE_f: -0.58 eV per atom
- Total magnetization: 11.04 μB per cell
- Calculated density: 10.2 g cm⁻³
- Fermi-level density of states: 33.839 states/eV per cell
- V: 265 Å³/f.u.



# 3
DFT (PBE) results for an optimized crystal structure of ErHfTcPd.

```
data_ErHfTcPd
_chemical_formula_sum 'Er4 Hf4 Tc4 Pd4'
_cell_length_a 6.6994
_cell_length_b 6.6994
_cell_length_c 6.6994
_cell_angle_alpha 90.00
_cell_angle_beta 90.00
_cell_angle_gamma 90.00
_space_group_name_H-M_alt 'F -4 3 m'
_space_group_IT_number 216
_space_group_name_Hall 'F -4 2 3'
loop_
_atom_site_label
_atom_site_fract_x
_atom_site_fract_y
_atom_site_fract_z
Er1 0.0000 0.0000 0.0000
Hf1 0.0000 0.0000 0.5000
Tc1 0.2500 0.2500 0.2500
Pd1 0.2500 0.2500 0.7500
```

## Properties
- VASP energy: -8.043 eV per atom
- ΔE_f: -0.52 eV per atom
- Total magnetization: 0.00 μB per cell
- Calculated density: 12.2 g cm⁻³
- Fermi-level density of states: 7.051 states/eV per cell
- V: 75 Å³/f.u.